{"formula": "ZrScReOs", "functional": "GGA-PBE", "state": "optimized geometry", "lattice": [[0.000, 3.265, 3.265], [3.265, 0.000, 3.265], [3.265, 3.265, 0.000]], "species": ["Zr", "Sc", "Re", "Os"], "fractional_positions": [[0.000, 0.000, 0.000], [0.500, 0.500, 0.500], [0.250, 0.250, 0.250], [0.750, 0.750, 0.750]]}



{"formula": "Pm4HoS5", "functional": "GGA-PBE", "state": "optimized geometry", "lattice": [[-1.999, 2.831, 10.032], [1.999, -2.831, 10.032], [1.999, 2.831, -10.032]], "species": ["Pm", "Pm", "Pm", "Pm", "Ho", "S", "S", "S", "S", "S"], "fractional_positions": [[0.100, 0.100, 0.000], [0.302, 0.302, 0.000], [0.698, 0.698, 0.000], [0.900, 0.900, 0.000], [0.500, 0.500, 0.000], [0.000, 0.500, 0.500], [0.201, 0.701, 0.500], [0.405, 0.905, 0.500], [0.595, 0.095, 0.500], [0.799, 0.299, 0.500]], "e_form_raw_mev_per_atom": -2014}



{"formula": "LiF8", "functional": "GGA-PBE", "state": "optimized geometry", "lattice": [[3.913, -4.241, 0.000], [3.913, 4.241, 0.000], [-1.408, 0.000, 3.940]], "species": ["Li", "F", "F", "F", "F", "F", "F", "F", "F"], "fractional_positions": [[0.000, 0.000, 0.000], [0.045, 0.766, 0.290], [0.234, 0.955, 0.710], [0.382, 0.382, 0.335], [0.387, 0.613, 0.000], [0.613, 0.387, 0.000], [0.618, 0.618, 0.665], [0.766, 0.045, 0.290], [0.955, 0.234, 0.710]], "e_form_raw_mev_per_atom": -249}



{"formula": "Mn2VReAs", "functional": "GGA-PBE", "state": "optimized geometry", "lattice": [[4.759, 0.000, 0.000], [0.000, 4.759, 0.000], [0.000, 0.000, 4.655]], "species": ["Mn", "Mn", "V", "Re", "As"], "fractional_positions": [[0.000, 0.500, 0.000], [0.500, 0.000, 0.000], [0.000, 0.000, 0.500], [0.500, 0.500, 0.000], [0.500, 0.500, 0.500]]}



Calculated values (Å³ per atom) of volume for the records, taken in order: 17.40, 22.71, 14.53, 21.09.
Calculated values (eV/atom) of electronic total energy for the records, taken in order: -9.87, -6.44, -2.13, -7.79.